1.
Below is an optimized crystal structure of Li3RuBr, with properties calculated at the PBE level.

a b c (Å): 4.7094 4.7094 4.7094
angles (deg): 90.00 90.00 90.00
Last column: nearest neighbours and their distance in Å.
Atoms (fractional coordinates):
Ru1 0.5000 0.5000 0.5000  12 Li 3.33
Br1 0.0000 0.0000 0.0000  6 Li 2.35
Li1 0.0000 0.5000 0.0000  2 Br 2.35
Li2 0.0000 0.0000 0.5000  2 Br 2.35
Li3 0.5000 0.0000 0.0000  2 Br 2.35

## Properties
Formation energy (no corrections): 0.319 eV per atom
Energy above the lowest structure with this stoichiometry: 0.000 eV per atom
Space group: Pm-3m (221)


2.
Below is an optimized crystal structure of Tm2PaSb3, with properties calculated at the PBE level.

a b c (Å): 6.1535 8.6922 13.0242
angles (deg): 90.00 90.00 89.99
Last column: nearest neighbours and their distance in Å.
Atoms (fractional coordinates):
Tm1 0.2508 0.8762 0.7513  6 Sb 3.05-3.08
Tm2 0.2508 0.3762 0.7487  6 Sb 3.05-3.08
Tm3 0.2497 0.8765 0.4161  6 Sb 3.06-3.08
Tm4 0.2497 0.3765 0.0839  6 Sb 3.06-3.08
Tm5 0.7503 0.6235 0.9161  6 Sb 3.06-3.08
Tm6 0.7503 0.1235 0.5839  6 Sb 3.06-3.08
Tm7 0.7492 0.6238 0.2513  6 Sb 3.05-3.08
Tm8 0.7492 0.1238 0.2487  6 Sb 3.05-3.08
Pa1 0.2495 0.8762 0.0815  6 Sb 3.07-3.09
Pa2 0.2495 0.3762 0.4185  6 Sb 3.07-3.09
Pa3 0.7505 0.6238 0.5815  6 Sb 3.07-3.09
Pa4 0.7505 0.1238 0.9185  6 Sb 3.07-3.09
Sb1 0.2505 0.6300 0.5850  3 Tm 3.05-3.07, 3 Pa 3.08-3.09
Sb2 0.2505 0.1300 0.9150  3 Tm 3.05-3.07, 3 Pa 3.08-3.09
Sb3 0.2503 0.6238 0.9163  5 Tm 3.06-3.08, 1 Pa 3.07
Sb4 0.2503 0.1238 0.5837  5 Tm 3.06-3.08, 1 Pa 3.07
Sb5 0.2492 0.6258 0.2498  4 Tm 3.06-3.08, 2 Pa 3.09
Sb6 0.2492 0.1258 0.2502  4 Tm 3.06-3.08, 2 Pa 3.09
Sb7 0.7508 0.8742 0.7498  4 Tm 3.06-3.08, 2 Pa 3.09
Sb8 0.7508 0.3742 0.7502  4 Tm 3.06-3.08, 2 Pa 3.09
Sb9 0.7497 0.8762 0.4163  5 Tm 3.06-3.08, 1 Pa 3.07
Sb10 0.7497 0.3762 0.0837  5 Tm 3.06-3.08, 1 Pa 3.07
Sb11 0.7495 0.8700 0.0850  3 Tm 3.05-3.07, 3 Pa 3.08-3.09
Sb12 0.7495 0.3700 0.4150  3 Tm 3.05-3.07, 3 Pa 3.08-3.09

## Properties
Formation energy (no corrections): -0.845 eV per atom
Space group: P2_1/c (14)


3.
Below is an optimized crystal structure of Zn2HgPd2, with properties calculated at the PBE level.

a b c (Å): 3.6946 3.6946 6.8935
angles (deg): 74.46 74.46 90.00
Last column: nearest neighbours and their distance in Å.
Atoms (fractional coordinates):
Zn1 0.7500 0.2500 0.5000  4 Pd 2.60, 4 Zn 2.61
Zn2 0.2500 0.7500 0.5000  4 Pd 2.60, 4 Zn 2.61
Hg1 0.0000 0.0000 0.0000  8 Pd 2.95
Pd1 0.3934 0.3934 0.2133  4 Zn 2.60, 1 Pd 2.72
Pd2 0.6066 0.6066 0.7867  4 Zn 2.60, 1 Pd 2.72

## Properties
Energy above the lowest structure with this stoichiometry: 0.124 eV per atom
Space group: I4/mmm (139)
Energy of formation from the pure elements: -0.2070 eV/atom


4.
Below is an optimized crystal structure of Ba2CoCl6, with properties calculated at the PBE level.

a b c (Å): 6.6802 6.6802 13.1887
angles (deg): 90.00 90.00 90.00
Last column: nearest neighbours and their distance in Å.
Atoms (fractional coordinates):
Ba1 0.0000 0.0000 0.3336  6 Cl 3.06-3.12
Ba2 0.5000 0.5000 0.8336  6 Cl 3.06-3.12
Ba3 0.5000 0.5000 0.1664  6 Cl 3.06-3.12
Ba4 0.0000 0.0000 0.6664  6 Cl 3.06-3.12
Co1 0.0000 0.0000 0.0000  6 Cl 2.48-2.50
Co2 0.5000 0.5000 0.5000  6 Cl 2.48-2.50
Cl1 0.3218 0.3218 0.3622  1 Co 2.48
Cl2 0.6782 0.6782 0.3622  1 Co 2.48
Cl3 0.1782 0.8218 0.8622  1 Co 2.48
Cl4 0.8218 0.1782 0.8622  1 Co 2.48
Cl5 0.1782 0.8218 0.1378  1 Co 2.48
Cl6 0.8218 0.1782 0.1378  1 Co 2.48
Cl7 0.3218 0.3218 0.6378  1 Co 2.48
Cl8 0.6782 0.6782 0.6378  1 Co 2.48
Cl9 0.2648 0.2648 0.0000  1 Co 2.50
Cl10 0.7352 0.7352 0.0000  1 Co 2.50
Cl11 0.2352 0.7648 0.5000  1 Co 2.50
Cl12 0.7648 0.2352 0.5000  1 Co 2.50

## Properties
Formation energy (no corrections): -1.763 eV per atom
Energy above the lowest structure with this stoichiometry: 0.102 eV per atom
Space group: P4_2/mnm (136)


5.
Below is an optimized crystal structure of K2SrGeI6, with properties calculated at the PBE level.

a b c (Å): 8.5271 8.5268 8.7342
angles (deg): 60.78 60.78 60.00
Last column: nearest neighbours and their distance in Å.
Atoms (fractional coordinates):
K1 0.5320 0.5319 0.4042  6 I 3.55-3.65
K2 0.0299 0.0300 0.9101  6 I 3.51-3.68
Sr1 0.8201 0.8201 0.5396  6 I 3.28-3.33
Ge1 0.3220 0.3220 0.0339  6 I 3.04-3.06
I1 0.5720 0.1840 0.2627  1 Ge 3.04, 1 Sr 3.33
I2 0.1840 0.9815 0.2626  1 Ge 3.04, 1 Sr 3.33
I3 0.9814 0.5720 0.2626  1 Ge 3.04, 1 Sr 3.33
I4 0.4578 0.6649 0.7797  1 Ge 3.06, 1 Sr 3.28
I5 0.6649 0.0974 0.7799  1 Ge 3.06, 1 Sr 3.28
I6 0.0975 0.4578 0.7799  1 Ge 3.06, 1 Sr 3.28

## Properties
Formation energy (no corrections): -1.165 eV per atom
Space group: R3 (146)


6.
Below is an optimized crystal structure of Na2ZnAu, with properties calculated at the PBE level.

a b c (Å): 5.5226 5.8498 5.8498
angles (deg): 100.62 90.00 90.00
Last column: nearest neighbours and their distance in Å.
Atoms (fractional coordinates):
Na1 0.7500 0.0319 0.6749  4 Au 3.07-3.22, 3 Na 3.21-3.42, 4 Zn 3.39
Na2 0.2500 0.9681 0.3251  4 Au 3.07-3.22, 3 Na 3.21-3.42, 4 Zn 3.39
Na3 0.2500 0.3251 0.9681  4 Au 3.07-3.22, 3 Na 3.21-3.42, 4 Zn 3.39
Na4 0.7500 0.6749 0.0319  4 Au 3.07-3.22, 3 Na 3.21-3.42, 4 Zn 3.39
Zn1 0.0000 0.5000 0.5000  2 Au 2.61, 2 Zn 2.76
Zn2 0.5000 0.5000 0.5000  2 Au 2.61, 2 Zn 2.76
Au1 0.7500 0.2042 0.2042  2 Zn 2.61
Au2 0.2500 0.7958 0.7958  2 Zn 2.61

## Properties
Space group: Cmcm (63)
Energy of formation from the pure elements: -0.2090 eV/atom


Number 1: DFT total energy -3.020 eV/atom. Number 2: DFT total energy -5.980 eV/atom. Number 3: DFT total energy -2.854 eV/atom. Number 4: DFT total energy -4.211 eV/atom. Number 5: DFT total energy -2.945 eV/atom. Number 6: DFT total energy -2.006 eV/atom.